GGA-PBE Re3Br, relaxed; raw total energy = -8.84 eV/atom; total magnetization = 0.0 μB/cell; energy relative to the elements, uncorrected = 0.919 eV per atom
1.0
2.861 0.000 0.000
0.000 4.739 0.000
0.000 0.000 10.053
Re Br
6 2
Cartesian
0.000 0.000 0.000
0.000 2.369 2.228
0.000 2.369 7.825
1.430 0.000 2.228
1.430 0.000 7.825
1.430 2.369 0.000
0.000 0.000 5.027
1.430 2.369 5.027

---

GGA-PBE Cs2BaTeF6, relaxed; raw total energy = -4.45 eV/atom; total magnetization = 0.0 μB/cell; energy relative to the elements, uncorrected = -2.653 eV per atom
1.0
-3.325 3.325 6.383
3.325 -3.325 6.383
3.325 3.325 -6.383
Cs Ba Te F
2 1 1 6
Cartesian
3.325 0.000 3.192
0.000 3.325 3.192
0.000 0.000 0.000
0.000 0.000 6.383
0.000 0.000 2.539
1.810 1.810 0.000
1.515 -1.515 6.383
-1.515 1.515 6.383
1.515 1.515 6.383
0.000 0.000 10.228

---

GGA-PBE AlTl2Au, relaxed; raw total energy = -2.99 eV/atom; total magnetization = 0.0 μB/cell; calculated formation energy = -0.054 eV per atom
1.0
3.330 0.000 0.000
0.000 3.330 0.000
0.000 0.000 8.957
Al Tl Au
1 2 1
Cartesian
0.000 0.000 0.000
0.000 0.000 3.554
1.665 1.665 6.565
1.665 1.665 1.190

---

GGA-PBE Er2TmZrAs4, relaxed; raw total energy = -6.51 eV/atom; total magnetization = 0.0 μB/cell; calculated formation energy = -1.418 eV per atom
1.0
6.951 0.000 0.000
0.000 4.010 0.000
-2.299 0.000 6.561
Er Tm Zr As
2 1 1 4
Cartesian
0.000 0.000 0.000
3.476 2.005 0.000
-1.150 2.005 3.281
2.326 0.000 3.281
0.049 0.000 4.887
1.195 2.005 1.694
3.457 2.005 4.867
4.604 0.000 1.674

---

Number 4 is which compound?
Er2TmZrAs4